VASP calculation (PBE) on Sb3OF3 after structural relaxation.

Energy relative to the elements, uncorrected: -936 kJ/mol of formula units
Total magnetization: 0.000 μB per cell
Mass density: 5.0 Mg/m³
Electronic total energy: -32.6 eV per formula unit

Cell: 4.367 7.409 9.088 Å, 99.54 90.00 90.00°
Element x y z (fractional)
O 0.250 0.750 0.313
O 0.750 0.250 0.687
F 0.250 0.501 0.771
F 0.250 0.115 0.828
F 0.250 0.413 0.409
F 0.750 0.587 0.591
F 0.750 0.499 0.229
F 0.750 0.885 0.172
Sb 0.750 0.522 0.793
Sb 0.250 0.880 0.540
Sb 0.750 0.120 0.460
Sb 0.250 0.478 0.207
Sb 0.750 0.130 0.881
Sb 0.250 0.870 0.119